1.
Density functional theory data (SCAN) for a PBEsol-optimized structure of Sc2PbSe.

Computed properties:
Spin magnetization = 0.014 μB/f.u.
Energy relative to the lowest polymorph listed for this composition = 52 meV per atom

Unit cell a=3.6981 b=3.6981 c=22.3852 alpha=90.00 beta=90.00 gamma=120.00
Space group R-3m (No. 166, hexagonal axes)
Unique sites:
Sc (0.0000, 0.0000, 0.2362) [6 per cell]
Pb (0.0000, 0.0000, 0.0000) [3 per cell]
Se (0.0000, 0.0000, 0.5000) [3 per cell]

***

2.
Density functional theory data (SCAN) for a PBEsol-optimized structure of Sc2PbSe.

Computed properties:
Spin magnetization = 0.914 μB/f.u.
Energy relative to the lowest polymorph listed for this composition = 350 meV per atom

Unit cell a=5.092 b=5.092 c=3.333 alpha=90.00 beta=90.00 gamma=90.00
Space group P4/mmm (No. 123)
Unique sites:
Sc (0.000, 0.500, 0.000) [2 per cell]
Pb (0.000, 0.000, 0.500) [1 per cell]
Se (0.500, 0.500, 0.500) [1 per cell]

***

3.
Density functional theory data (SCAN) for a PBEsol-optimized structure of Sc2PbSe.

Computed properties:
Spin magnetization = 0.000 μB/f.u.
Energy relative to the lowest polymorph listed for this composition = 0 meV per atom

Unit cell a=4.014 b=4.014 c=5.657 alpha=90.00 beta=90.00 gamma=90.00
Space group P4/mmm (No. 123)
Unique sites:
Sc (0.000, 0.000, 0.000) [1 per cell]
Sc (0.500, 0.500, 0.500) [1 per cell]
Pb (0.000, 0.000, 0.500) [1 per cell]
Se (0.500, 0.500, 0.000) [1 per cell]

***

4.
Density functional theory data (SCAN) for a PBEsol-optimized structure of Sc2Sn2Pb.

Computed properties:
Spin magnetization = 0.604 μB/f.u.
Formation enthalpy at 0 K = -0.1729 eV per atom

Unit cell a=4.734 b=4.734 c=12.137 alpha=90.00 beta=90.00 gamma=90.00
Space group I4/mmm (No. 139)
Unique sites:
Sc (0.000, 0.500, 0.250) [4 per cell]
Sn (0.000, 0.000, 0.115) [4 per cell]
Pb (0.000, 0.000, 0.500) [2 per cell]

***

5.
Density functional theory data (SCAN) for a PBEsol-optimized structure of SrSc2Pb.

Computed properties:
Spin magnetization = 2.289 μB/f.u.
Formation enthalpy at 0 K = -0.0791 eV per atom

Unit cell a=7.557 b=7.557 c=7.557 alpha=90.00 beta=90.00 gamma=90.00
Space group F-43m (No. 216)
Unique sites:
Sr (0.000, 0.000, 0.000) [4 per cell]
Sc (0.000, 0.000, 0.500) [4 per cell]
Sc (0.250, 0.250, 0.750) [4 per cell]
Pb (0.250, 0.250, 0.250) [4 per cell]

***

6.
Density functional theory data (SCAN) for a PBEsol-optimized structure of SrSc2Pb.

Computed properties:
Spin magnetization = 1.556 μB/f.u.
Formation enthalpy at 0 K = -0.1009 eV per atom

Unit cell a=4.713 b=4.713 c=9.655 alpha=90.00 beta=90.00 gamma=90.00
Space group I4/mmm (No. 139)
Unique sites:
Sr (0.000, 0.000, 0.000) [2 per cell]
Sc (0.000, 0.500, 0.250) [4 per cell]
Pb (0.000, 0.000, 0.500) [2 per cell]

***

7.
Density functional theory data (SCAN) for a PBEsol-optimized structure of ScTaPb2.

Computed properties:
Spin magnetization = 0.006 μB/f.u.
Formation enthalpy at 0 K = 0.2144 eV per atom

Unit cell a=7.023 b=7.023 c=7.023 alpha=90.00 beta=90.00 gamma=90.00
Space group Fm-3m (No. 225)
Unique sites:
Sc (0.000, 0.000, 0.000) [4 per cell]
Ta (0.000, 0.000, 0.500) [4 per cell]
Pb (0.250, 0.250, 0.250) [8 per cell]

***

8.
Density functional theory data (SCAN) for a PBEsol-optimized structure of Sc2TcPb.

Computed properties:
Spin magnetization = 0.000 μB/f.u.
Formation enthalpy at 0 K = -0.2283 eV per atom

Unit cell a=3.469 b=4.655 c=9.716 alpha=90.00 beta=90.00 gamma=90.00
Space group Imm2 (No. 44)
Unique sites:
Sc (0.000, 0.000, 0.000) [2 per cell]
Sc (0.000, 0.500, 0.225) [2 per cell]
Tc (0.000, 0.500, 0.720) [2 per cell]
Pb (0.000, 0.000, 0.453) [2 per cell]

***

9.
Density functional theory data (SCAN) for a PBEsol-optimized structure of Sc2TcPb.

Computed properties:
Spin magnetization = 0.000 μB/f.u.
Formation enthalpy at 0 K = -0.4791 eV per atom

Unit cell a=3.405 b=3.405 c=6.721 alpha=90.00 beta=90.00 gamma=90.00
Space group P4/mmm (No. 123)
Unique sites:
Sc (0.000, 0.000, 0.213) [2 per cell]
Tc (0.500, 0.500, 0.000) [1 per cell]
Pb (0.500, 0.500, 0.500) [1 per cell]

***

10.
Density functional theory data (SCAN) for a PBEsol-optimized structure of ScTcPb3.

Computed properties:
Spin magnetization = 0.002 μB/f.u.
Formation enthalpy at 0 K = 0.5650 eV per atom

Unit cell a=5.217 b=5.217 c=5.217 alpha=90.00 beta=90.00 gamma=90.00
Space group Pm-3m (No. 221)
Unique sites:
Sc (0.000, 0.000, 0.000) [1 per cell]
Tc (0.500, 0.500, 0.500) [1 per cell]
Pb (0.000, 0.500, 0.500) [3 per cell]

***

11.
Density functional theory data (SCAN) for a PBEsol-optimized structure of Sc2TcPb.

Computed properties:
Spin magnetization = 0.000 μB/f.u.
Formation enthalpy at 0 K = -0.1897 eV per atom

Unit cell a=4.411 b=4.411 c=7.772 alpha=90.00 beta=90.00 gamma=90.00
Space group I-4m2 (No. 119)
Unique sites:
Sc (0.000, 0.000, 0.000) [2 per cell]
Sc (0.000, 0.500, 0.250) [2 per cell]
Tc (0.000, 0.000, 0.500) [2 per cell]
Pb (0.000, 0.500, 0.750) [2 per cell]

***

12.
Density functional theory data (SCAN) for a PBEsol-optimized structure of Sc2TePb.

Computed properties:
Spin magnetization = 0.000 μB/f.u.
Energy relative to the lowest polymorph listed for this composition = 8 meV per atom

Unit cell a=4.140 b=4.140 c=5.823 alpha=90.00 beta=90.00 gamma=90.00
Space group P4/mmm (No. 123)
Unique sites:
Sc (0.000, 0.000, 0.000) [1 per cell]
Sc (0.500, 0.500, 0.500) [1 per cell]
Te (0.000, 0.000, 0.500) [1 per cell]
Pb (0.500, 0.500, 0.000) [1 per cell]

***

13.
Density functional theory data (SCAN) for a PBEsol-optimized structure of Sc2TePb.

Computed properties:
Spin magnetization = 0.000 μB/f.u.
Energy relative to the lowest polymorph listed for this composition = 185 meV per atom

Unit cell a=4.623 b=3.774 c=11.061 alpha=90.00 beta=90.00 gamma=90.00
Space group Amm2 (No. 38)
Unique sites:
Sc (0.000, 0.000, 0.000) [2 per cell]
Sc (0.500, 0.000, 0.235) [2 per cell]
Te (0.000, 0.000, 0.737) [2 per cell]
Pb (0.500, 0.000, 0.499) [2 per cell]

***

14.
Density functional theory data (SCAN) for a PBEsol-optimized structure of Sc2TePb.

Computed properties:
Spin magnetization = 0.001 μB/f.u.
Energy relative to the lowest polymorph listed for this composition = 360 meV per atom

Unit cell a=7.206 b=7.206 c=7.206 alpha=90.00 beta=90.00 gamma=90.00
Space group Fm-3m (No. 225)
Unique sites:
Sc (0.250, 0.250, 0.250) [8 per cell]
Te (0.000, 0.000, 0.000) [4 per cell]
Pb (0.000, 0.000, 0.500) [4 per cell]

***

15.
Density functional theory data (SCAN) for a PBEsol-optimized structure of Sc2TePb.

Computed properties:
Spin magnetization = 1.622 μB/f.u.
Energy relative to the lowest polymorph listed for this composition = 237 meV per atom

Unit cell a=3.491 b=3.491 c=7.660 alpha=90.00 beta=90.00 gamma=90.00
Space group P4/mmm (No. 123)
Unique sites:
Sc (0.000, 0.000, 0.230) [2 per cell]
Te (0.500, 0.500, 0.000) [1 per cell]
Pb (0.500, 0.500, 0.500) [1 per cell]

***

16.
Density functional theory data (SCAN) for a PBEsol-optimized structure of Sc2TePb.

Computed properties:
Spin magnetization = 0.000 μB/f.u.
Energy relative to the lowest polymorph listed for this composition = 0 meV per atom

Unit cell a=4.1219 b=4.1219 c=20.4353 alpha=90.00 beta=90.00 gamma=120.00
Space group R-3m (No. 166, hexagonal axes)
Unique sites:
Sc (0.0000, 0.0000, 0.2479) [6 per cell]
Te (0.0000, 0.0000, 0.0000) [3 per cell]
Pb (0.0000, 0.0000, 0.5000) [3 per cell]

***

17.
Density functional theory data (SCAN) for a PBEsol-optimized structure of ScTlPb2.

Computed properties:
Spin magnetization = 0.000 μB/f.u.
Formation enthalpy at 0 K = -0.2071 eV per atom

Unit cell a=7.092 b=8.587 c=3.398 alpha=90.00 beta=90.00 gamma=90.00
Space group Cmmm (No. 65)
Unique sites:
Sc (0.000, 0.000, 0.000) [2 per cell]
Tl (0.000, 0.500, 0.000) [2 per cell]
Pb (0.250, 0.250, 0.500) [4 per cell]

***

18.
Density functional theory data (SCAN) for a PBEsol-optimized structure of ScTlPb2.

Computed properties:
Spin magnetization = 0.000 μB/f.u.
Formation enthalpy at 0 K = -0.2380 eV per atom

Unit cell a=3.502 b=4.512 c=6.609 alpha=90.00 beta=90.00 gamma=90.00
Space group Pmmm (No. 47)
Unique sites:
Sc (0.000, 0.000, 0.000) [1 per cell]
Tl (0.000, 0.000, 0.500) [1 per cell]
Pb (0.500, 0.500, 0.234) [2 per cell]

***

19.
Density functional theory data (SCAN) for a PBEsol-optimized structure of ScTlPb2.

Computed properties:
Spin magnetization = 0.205 μB/f.u.
Formation enthalpy at 0 K = -0.2451 eV per atom

Unit cell a=3.338 b=3.338 c=9.606 alpha=90.00 beta=90.00 gamma=90.00
Space group P4/mmm (No. 123)
Unique sites:
Sc (0.000, 0.000, 0.000) [1 per cell]
Tl (0.000, 0.000, 0.500) [1 per cell]
Pb (0.500, 0.500, 0.224) [2 per cell]

***

20.
Density functional theory data (SCAN) for a PBEsol-optimized structure of ScPbW2.

Computed properties:
Spin magnetization = 0.000 μB/f.u.
Formation enthalpy at 0 K = 0.7220 eV per atom

Unit cell a=3.569 b=3.569 c=5.925 alpha=90.00 beta=90.00 gamma=90.00
Space group P4/mmm (No. 123)
Unique sites:
Sc (0.000, 0.000, 0.000) [1 per cell]
Pb (0.000, 0.000, 0.500) [1 per cell]
W (0.500, 0.500, 0.212) [2 per cell]

***

21.
Density functional theory data (SCAN) for a PBEsol-optimized structure of ScPb2W.

Computed properties:
Spin magnetization = 0.000 μB/f.u.
Energy relative to the lowest polymorph listed for this composition = 1 meV per atom
Formation enthalpy at 0 K = 0.4680 eV per atom

Unit cell a=3.1808 b=3.1808 c=31.4000 alpha=90.00 beta=90.00 gamma=120.00
Space group R3m (No. 160, hexagonal axes)
Unique sites:
Sc (0.0000, 0.0000, 0.0000) [3 per cell]
Pb (0.0000, 0.0000, 0.2471) [3 per cell]
Pb (0.0000, 0.0000, 0.4789) [3 per cell]
W (0.0000, 0.0000, 0.7353) [3 per cell]

***

22.
Density functional theory data (SCAN) for a PBEsol-optimized structure of ScPb3W.

Computed properties:
Spin magnetization = 3.947 μB/f.u.
Formation enthalpy at 0 K = 1.4400 eV per atom

Unit cell a=5.380 b=5.380 c=5.380 alpha=90.00 beta=90.00 gamma=90.00
Space group Pm-3m (No. 221)
Unique sites:
Sc (0.000, 0.000, 0.000) [1 per cell]
Pb (0.000, 0.000, 0.500) [3 per cell]
W (0.500, 0.500, 0.500) [1 per cell]

***

23.
Density functional theory data (SCAN) for a PBEsol-optimized structure of ScPb2W.

Computed properties:
Spin magnetization = 0.740 μB/f.u.
Energy relative to the lowest polymorph listed for this composition = 0 meV per atom
Formation enthalpy at 0 K = 0.4671 eV per atom

Unit cell a=3.428 b=3.428 c=7.159 alpha=90.00 beta=90.00 gamma=90.00
Space group P4/mmm (No. 123)
Unique sites:
Sc (0.000, 0.000, 0.000) [1 per cell]
Pb (0.500, 0.500, 0.271) [2 per cell]
W (0.000, 0.000, 0.500) [1 per cell]

***

24.
Density functional theory data (SCAN) for a PBEsol-optimized structure of Sc2PbW.

Computed properties:
Spin magnetization = 0.000 μB/f.u.
Formation enthalpy at 0 K = 0.1596 eV per atom

Unit cell a=10.274 b=3.047 c=5.256 alpha=90.00 beta=99.43 gamma=90.00
Space group Cm (No. 8)
Unique sites:
Sc (0.000, 0.000, 0.000) [2 per cell]
Sc (0.226, 0.000, 0.712) [2 per cell]
Pb (0.254, 0.500, 0.231) [2 per cell]
W (0.486, 0.000, 0.512) [2 per cell]

***

25.
Density functional theory data (SCAN) for a PBEsol-optimized structure of ScPb2W.

Computed properties:
Spin magnetization = 0.000 μB/f.u.
Energy relative to the lowest polymorph listed for this composition = 13 meV per atom
Formation enthalpy at 0 K = 0.4799 eV per atom

Unit cell a=11.121 b=3.075 c=5.150 alpha=90.00 beta=101.88 gamma=90.00
Space group Cm (No. 8)
Unique sites:
Sc (0.000, 0.000, 0.000) [2 per cell]
Pb (0.038, 0.500, 0.531) [2 per cell]
Pb (0.261, 0.500, 0.221) [2 per cell]
W (0.288, 0.000, 0.743) [2 per cell]

***

26.
Density functional theory data (SCAN) for a PBEsol-optimized structure of Sc2PbW.

Computed properties:
Spin magnetization = 0.000 μB/f.u.
Formation enthalpy at 0 K = -0.0022 eV per atom

Unit cell a=4.566 b=4.566 c=3.770 alpha=90.00 beta=90.00 gamma=90.00
Space group P4/mmm (No. 123)
Unique sites:
Sc (0.000, 0.500, 0.000) [2 per cell]
Pb (0.000, 0.000, 0.500) [1 per cell]
W (0.500, 0.500, 0.500) [1 per cell]

***

27.
Density functional theory data (SCAN) for a PBEsol-optimized structure of ScPbW2.

Computed properties:
Spin magnetization = 0.000 μB/f.u.
Formation enthalpy at 0 K = 0.5787 eV per atom

Unit cell a=5.670 b=9.751 c=2.928 alpha=90.00 beta=115.53 gamma=90.00
Space group C2/m (No. 12)
Unique sites:
Sc (0.000, 0.000, 0.000) [2 per cell]
Pb (0.000, 0.500, 0.000) [2 per cell]
W (0.250, 0.250, 0.500) [4 per cell]

***

28.
Density functional theory data (SCAN) for a PBEsol-optimized structure of ScPbW2.

Computed properties:
Spin magnetization = 0.000 μB/f.u.
Formation enthalpy at 0 K = 0.4941 eV per atom

Unit cell a=10.410 b=3.399 c=4.522 alpha=90.00 beta=115.03 gamma=90.00
Space group C2/m (No. 12)
Unique sites:
Sc (0.000, 0.000, 0.000) [2 per cell]
Pb (0.000, 0.500, 0.500) [2 per cell]
W (0.245, 0.500, 0.246) [4 per cell]

***

29.
Density functional theory data (SCAN) for a PBEsol-optimized structure of Sc2PbW.

Computed properties:
Spin magnetization = 0.000 μB/f.u.
Formation enthalpy at 0 K = 0.0554 eV per atom

Unit cell a=3.076 b=5.000 c=5.213 alpha=90.00 beta=90.00 gamma=90.00
Space group Pmm2 (No. 25)
Unique sites:
Sc (0.000, 0.000, 0.000) [1 per cell]
Sc (0.000, 0.500, 0.381) [1 per cell]
Pb (0.500, 0.000, 0.518) [1 per cell]
W (0.500, 0.500, 0.888) [1 per cell]

***

30.
Density functional theory data (SCAN) for a PBEsol-optimized structure of YScPb.

Computed properties:
Spin magnetization = 0.759 μB/f.u.
Formation enthalpy at 0 K = -0.4372 eV per atom

Unit cell a=3.522 b=3.522 c=12.558 alpha=90.00 beta=90.00 gamma=90.00
Space group I4mm (No. 107)
Unique sites:
Y (0.000, 0.000, 0.000) [2 per cell]
Sc (0.000, 0.000, 0.321) [2 per cell]
Pb (0.000, 0.000, 0.671) [2 per cell]